No. 1
An optimized crystal structure of Zr2AgSe, computed with PBE-GGA.

POSCAR file:
```
Zr2AgSe
1.0
5.693 -0.001 0.000
2.808 4.952 0.000
-4.250 -2.476 2.866
Ag Se Zr
1 1 2
Direct
0.500 0.500 0.000 Ag
0.750 0.250 0.500 Se
0.000 0.000 0.000 Zr
0.250 0.750 0.500 Zr
```

* spin magnetization: 0.000 μB/cell
* final energy: -6.09 eV/atom
* E_form (uncorrected): -0.93 eV per formula unit



No. 2
An optimized crystal structure of PrGdNiGe, computed with PBE-GGA.

POSCAR file:
```
PrGdNiGe
1.0
-0.923 1.357 4.785
3.338 -1.115 3.634
2.718 3.682 2.154
Pr Ni Ge Gd
1 1 1 1
Direct
0.500 0.500 0.500 Pr
0.750 0.750 0.750 Ni
0.250 0.250 0.250 Ge
0.000 0.000 0.000 Gd
```

* formation energy from the elements: -462 meV/atom
* spin magnetization: 7.289 μB/cell
* final energy: -7.78 eV/atom



No. 3
An optimized crystal structure of HfSn2S, computed with PBE-GGA.

POSCAR file:
```
HfSn2S
1.0
8.091 0.000 0.000
0.000 8.091 0.000
4.045 4.045 2.861
S Hf Sn
2 2 4
Direct
0.500 0.500 0.000 S
0.250 0.750 0.500 S
0.000 0.000 0.000 Hf
0.750 0.250 0.500 Hf
0.620 0.125 0.250 Sn
0.130 0.625 0.250 Sn
0.375 0.380 0.750 Sn
0.875 0.870 0.750 Sn
```

* spin magnetization: 0.000 μB/cell
* final energy: -5.36 eV/atom
* E_form (uncorrected): 0.65 eV per formula unit



No. 4
An optimized crystal structure of ZrTcIr2, computed with PBE-GGA.

POSCAR file:
```
ZrTcIr2
1.0
-3.251 -2.058 -3.085
-2.128 -3.915 2.115
0.661 4.645 1.516
Ir Tc Zr
2 1 1
Direct
0.000 0.000 0.000 Ir
0.750 0.250 0.500 Ir
0.500 0.500 0.000 Tc
0.250 0.750 0.500 Zr
```

* formation energy from the elements: -346 meV/atom
* spin magnetization: 0.000 μB/cell
* final energy: -9.50 eV/atom



No. 5
An optimized crystal structure of Na2ZrBe, computed with PBE-GGA.

POSCAR file:
```
Na2ZrBe
1.0
-4.419 2.771 -6.548
-3.222 -7.653 -1.064
-5.831 -1.820 -2.186
Na Zr Be
4 2 2
Direct
0.567 0.125 0.250 Na
0.183 0.625 0.250 Na
0.375 0.433 0.750 Na
0.875 0.817 0.750 Na
0.000 0.000 0.000 Zr
0.750 0.250 0.500 Zr
0.500 0.500 0.000 Be
0.250 0.750 0.500 Be
```

* formation energy from the elements: 985 meV/atom
* spin magnetization: 0.001 μB/cell
* final energy: -2.74 eV/atom



No. 6
An optimized crystal structure of TmVSn, computed with PBE-GGA.

POSCAR file:
```
TmVSn
1.0
-0.342 2.781 -0.994
-1.682 0.639 2.366
7.587 0.550 3.377
Tm Sn V
1 1 1
Direct
0.124 0.124 0.248 Tm
0.780 0.780 0.559 Sn
0.946 0.946 0.893 V
```

* formation energy from the elements: 776 meV/atom
* spin magnetization: 0.409 μB/cell
* final energy: -5.09 eV/atom



No. 7
An optimized crystal structure of RbMgTe2O8, computed with PBE-GGA.

POSCAR file:
```
RbMgTe2O8
1.0
-3.515 3.227 2.889
-0.075 -5.533 0.705
5.565 0.689 6.002
Rb Mg Te O
1 1 2 8
Direct
0.000 0.000 0.000 Rb
0.000 0.000 0.500 Mg
0.667 0.333 0.291 Te
0.333 0.667 0.709 Te
0.333 0.667 0.936 O
0.321 0.271 0.348 O
0.729 0.050 0.348 O
0.667 0.333 0.064 O
0.271 0.950 0.652 O
0.679 0.729 0.652 O
0.050 0.321 0.652 O
0.950 0.679 0.348 O
```

* spin magnetization: 1.120 μB/cell
* final energy: -5.19 eV/atom
* E_form (uncorrected): -13.77 eV per formula unit



No. 8
An optimized crystal structure of AcIn3Pd, computed with PBE-GGA.

POSCAR file:
```
AcIn3Pd
1.0
-4.698 2.223 -0.551
-1.920 -4.508 -1.818
-1.248 -1.432 4.869
Ac Pd In
1 1 3
Direct
0.500 0.500 0.500 Ac
0.000 0.000 0.000 Pd
0.000 0.500 0.000 In
0.000 0.000 0.500 In
0.500 0.000 0.000 In
```

* formation energy from the elements: -318 meV/atom
* spin magnetization: 0.000 μB/cell
* final energy: -3.82 eV/atom



Record-wise N(E_F) values, in states/eV per cell: 3.2; 2.8; 7.5; 5.2; 9.8; 4.5; 10.1; 3.8